Entry i
The following is a PBE calculation of an optimized crystal structure of La4RuPt, from the Alexandria database.

SG: P-1, No. 2
DOS(E_F): 5.3 states/eV/f.u.
Crystal system: triclinic

Unit cell a=7.1639 b=7.2414 c=8.5449 alpha=111.15 beta=114.75 gamma=90.27
Element x y z (fractional)
La1 0.0741 0.0405 0.2346
La2 0.1592 0.5415 0.2362
La3 0.3281 0.3535 0.7377
La4 0.4115 0.8538 0.7385
La5 0.5885 0.1462 0.2615
La6 0.6719 0.6465 0.2623
La7 0.8408 0.4585 0.7638
La8 0.9259 0.9595 0.7654
Ru1 0.0000 0.0000 0.5000
Ru2 0.5000 0.5000 0.5000
Pt1 0.2677 0.7497 0.0002
Pt2 0.7323 0.2503 0.9998

***

Entry ii
The following is a PBE calculation of an optimized crystal structure of La4RuPt, from the Alexandria database.

SG: C2/c, No. 15
DOS(E_F): 5.7 states/eV/f.u.
Crystal system: monoclinic

Unit cell a=8.9300 b=8.9300 c=7.1374 alpha=106.83 beta=106.83 gamma=122.02
Element x y z (fractional)
La1 0.0223 0.4181 0.2251
La2 0.1970 0.3001 0.7424
La3 0.3001 0.1970 0.2424
La4 0.4181 0.0223 0.7251
La5 0.5819 0.9777 0.2749
La6 0.6999 0.8030 0.7576
La7 0.8030 0.6999 0.2576
La8 0.9777 0.5819 0.7749
Ru1 0.0875 0.9125 0.7500
Ru2 0.9125 0.0875 0.2500
Pt1 0.4149 0.5851 0.2500
Pt2 0.5851 0.4149 0.7500

***

Entry iii
The following is a PBE calculation of an optimized crystal structure of La4RuPt, from the Alexandria database.

SG: F-43m, No. 216
DOS(E_F): 8.9 states/eV/f.u.
Crystal system: cubic

Unit cell a=6.0783 b=6.0783 c=6.0783 alpha=60.00 beta=60.00 gamma=60.00
Element x y z (fractional)
La1 0.1253 0.1253 0.1253
La2 0.1253 0.1253 0.6242
La3 0.1253 0.6242 0.1253
La4 0.6242 0.1253 0.1253
Ru1 0.5000 0.5000 0.5000
Pt1 0.7500 0.7500 0.7500

***

Most stable: entry ii (next structure +0.014 eV/atom)

***

Entry i
The following is a PBE calculation of an optimized crystal structure of LaPtS2, from the Alexandria database.

SG: Fm-3m, No. 225
DOS(E_F): 4.3 states/eV/f.u.
Crystal system: cubic

Unit cell a=4.8091 b=4.8091 c=4.8091 alpha=60.00 beta=60.00 gamma=60.00
Element x y z (fractional)
La1 0.0000 0.0000 0.0000
Pt1 0.5000 0.5000 0.5000
S1 0.2500 0.2500 0.2500
S2 0.7500 0.7500 0.7500

***

Entry ii
The following is a PBE calculation of an optimized crystal structure of LaPtS2, from the Alexandria database.

SG: I-42d, No. 122
DOS(E_F): 1.9 states/eV/f.u.
Crystal system: tetragonal

Unit cell a=8.2181 b=8.2181 c=8.2181 alpha=143.55 beta=143.55 gamma=52.49
Element x y z (fractional)
La1 0.0000 0.0000 0.0000
La2 0.7500 0.2500 0.5000
Pt1 0.2500 0.7500 0.5000
Pt2 0.5000 0.5000 0.0000
S1 0.1920 0.6250 0.0670
S2 0.3750 0.4420 0.5670
S3 0.5580 0.1250 0.9330
S4 0.8750 0.8080 0.4330

***

Entry iii
The following is a PBE calculation of an optimized crystal structure of LaPtS2, from the Alexandria database.

SG: R-3m, No. 166
DOS(E_F): 5.8 states/eV/f.u.
Crystal system: trigonal

Unit cell a=7.1460 b=7.1460 c=7.1460 alpha=37.91 beta=37.91 gamma=37.91
Element x y z (fractional)
La1 0.0000 0.0000 0.0000
Pt1 0.5000 0.5000 0.5000
S1 0.3889 0.3889 0.3889
S2 0.6111 0.6111 0.6111

***

Most stable: entry ii (next structure +0.045 eV/atom)

***

Entry i
The following is a PBE calculation of an optimized crystal structure of LaPtS3, from the Alexandria database.

SG: Pm-3m, No. 221
DOS(E_F): 2.8 states/eV/f.u.
Crystal system: cubic

Unit cell a=5.4781 b=5.4781 c=5.4781 alpha=90.00 beta=90.00 gamma=90.00
Element x y z (fractional)
La1 0.0000 0.0000 0.0000
Pt1 0.5000 0.5000 0.5000
S1 0.0000 0.0000 0.5000
S2 0.0000 0.5000 0.0000
S3 0.5000 0.0000 0.0000

***

Entry ii
The following is a PBE calculation of an optimized crystal structure of LaPtS3, from the Alexandria database.

SG: Pm-3m, No. 221
DOS(E_F): 0.9 states/eV/f.u.
Crystal system: cubic

Unit cell a=4.7370 b=4.7370 c=4.7370 alpha=90.00 beta=90.00 gamma=90.00
Element x y z (fractional)
La1 0.0000 0.0000 0.0000
Pt1 0.5000 0.5000 0.5000
S1 0.0000 0.5000 0.5000
S2 0.5000 0.0000 0.5000
S3 0.5000 0.5000 0.0000

***

Most stable: entry ii (next structure +1.410 eV/atom)